DFT (GGA-PBE) results for crystalline Na2AsPCO7 at its relaxed geometry.

Computed properties:
Its crystal system is monoclinic. As for the total magnetic moment: 0.00 μB/f.u. The value obtained for the density of states at the Fermi level is 0.0 states/eV per cell. The value obtained for the total energy is -6.502 eV/atom. Its uncorrected formation energy is -1.783 eV/atom.

Unit cell a=6.639 b=5.557 c=9.286 alpha=86.54 beta=90.00 gamma=90.00
Positions (direct):
Na: 0.489 0.275 0.774
Na: 0.011 0.275 0.774
Na: 0.511 0.725 0.226
Na: 0.989 0.725 0.226
As: 0.750 0.849 0.633
As: 0.250 0.151 0.367
P: 0.250 0.760 0.601
P: 0.750 0.240 0.399
C: 0.750 0.741 0.908
C: 0.250 0.259 0.092
O: 0.250 0.246 0.958
O: 0.750 0.954 0.823
O: 0.750 0.551 0.836
O: 0.064 0.893 0.660
O: 0.436 0.893 0.660
O: 0.750 0.186 0.573
O: 0.250 0.490 0.632
O: 0.750 0.510 0.368
O: 0.250 0.814 0.427
O: 0.564 0.107 0.340
O: 0.936 0.107 0.340
O: 0.250 0.449 0.164
O: 0.250 0.046 0.177
O: 0.750 0.754 0.042